1:
The following is a DFT calculation (PBE) of a relaxed structure of CoAs3.

Properties
DOS(E_F) = 1.71 states/eV/f.u.
Size of the total moment = 0.000 μB per atom
Theoretical density = 4.9 g cm⁻³

Cell lengths 4.580, 4.580, 4.580 Å; angles 90.00, 90.00, 90.00 degrees
Atoms (fractional coordinates):
As  0.500  0.000  0.000
As  0.000  0.500  0.000
As  0.000  0.000  0.500
Co  0.000  0.000  0.000

=====

2:
The following is a DFT calculation (PBE) of a relaxed structure of CoAs3.

Properties
DOS(E_F) = 3.95 states/eV/f.u.
Size of the total moment = 0.192 μB per atom
Theoretical density = 7.2 g cm⁻³

Cell lengths 4.598, 4.598, 3.102 Å; angles 90.00, 90.00, 90.00 degrees
Each line ends with the local moment (μB).
Atoms (fractional coordinates):
As  0.000  0.000  0.000  -0.01
As  0.500  0.000  0.500  -0.01
As  0.500  0.500  0.000  -0.01
Co  0.000  0.500  0.500  0.87

=====

3:
The following is a DFT calculation (PBE) of a relaxed structure of CoAs3.

Properties
DOS(E_F) = 1.46 states/eV/f.u.
Size of the total moment = 0.151 μB per atom
Theoretical density = 5.5 g cm⁻³

Cell lengths 7.195, 7.195, 3.580 Å; angles 90.00, 90.00, 112.34 degrees
Each line ends with the local moment (μB).
Atoms (fractional coordinates):
Co  0.575  0.425  0.750  0.58
Co  0.425  0.575  0.250  0.58
As  0.259  0.741  0.750  -0.01
As  0.741  0.259  0.250  -0.01
As  0.617  0.803  0.750  0.01
As  0.383  0.197  0.250  0.01
As  0.803  0.617  0.250  0.01
As  0.197  0.383  0.750  0.01

=====

4:
The following is a DFT calculation (PBE) of a relaxed structure of CoAs3.

Properties
DOS(E_F) = 1.39 states/eV/f.u.
Size of the total moment = 0.000 μB per atom
Theoretical density = 5.4 g cm⁻³

Cell lengths 7.440, 7.440, 3.649 Å; angles 90.00, 90.00, 120.00 degrees
Atoms (fractional coordinates):
Co  0.333  0.667  0.250
Co  0.667  0.333  0.750
As  0.784  0.568  0.250
As  0.432  0.216  0.250
As  0.784  0.216  0.250
As  0.216  0.432  0.750
As  0.568  0.784  0.750
As  0.216  0.784  0.750

=====

Which of them is least stable? Easy: 1.

=====

1:
The following is a DFT calculation (PBE) of a relaxed structure of Co5As3.

Properties
DOS(E_F) = 8.04 states/eV/f.u.
Size of the total moment = 0.177 μB per atom
Theoretical density = 8.8 g cm⁻³

Cell lengths 6.121, 7.340, 8.749 Å; angles 90.00, 90.00, 90.00 degrees
Each line ends with the local moment (μB).
Atoms (fractional coordinates):
Co  0.317  0.250  0.320  0.55
Co  0.817  0.750  0.180  0.55
Co  0.683  0.750  0.680  0.55
Co  0.183  0.250  0.820  0.55
Co  0.735  0.250  0.266  0.11
Co  0.235  0.750  0.234  0.11
Co  0.265  0.750  0.734  0.11
Co  0.765  0.250  0.766  0.11
Co  0.531  0.250  0.012  0.42
Co  0.031  0.750  0.488  0.42
Co  0.469  0.750  0.988  0.42
Co  0.969  0.250  0.512  0.42
Co  0.202  0.041  0.070  0.20
Co  0.702  0.959  0.430  0.20
Co  0.798  0.541  0.930  0.20
Co  0.298  0.459  0.570  0.20
Co  0.798  0.959  0.930  0.20
Co  0.298  0.041  0.570  0.20
Co  0.202  0.459  0.070  0.20
Co  0.702  0.541  0.430  0.20
As  0.578  0.250  0.523  -0.01
As  0.078  0.750  0.977  -0.01
As  0.422  0.750  0.477  -0.01
As  0.922  0.250  0.023  -0.01
As  0.047  0.483  0.320  -0.01
As  0.547  0.517  0.180  -0.01
As  0.953  0.983  0.680  -0.01
As  0.453  0.017  0.820  -0.01
As  0.953  0.517  0.680  -0.01
As  0.453  0.483  0.820  -0.01
As  0.047  0.017  0.320  -0.01
As  0.547  0.983  0.180  -0.01

=====

2:
The following is a DFT calculation (PBE) of a relaxed structure of Co5As3.

Properties
DOS(E_F) = 8.31 states/eV/f.u.
Size of the total moment = 0.144 μB per atom
Theoretical density = 8.5 g cm⁻³

Cell lengths 6.842, 6.842, 5.005 Å; angles 90.00, 90.00, 120.00 degrees
Each line ends with the local moment (μB).
Atoms (fractional coordinates):
As  0.631  0.000  0.250  0.00
As  0.369  0.000  0.750  0.00
As  0.000  0.631  0.250  0.00
As  0.369  0.369  0.250  0.00
As  0.631  0.631  0.750  0.00
As  0.000  0.369  0.750  0.00
Co  0.333  0.667  0.000  0.41
Co  0.667  0.333  0.500  0.41
Co  0.667  0.333  0.000  0.41
Co  0.333  0.667  0.500  0.41
Co  0.293  0.000  0.250  0.13
Co  0.707  0.000  0.750  0.13
Co  0.000  0.293  0.250  0.13
Co  0.707  0.707  0.250  0.13
Co  0.293  0.293  0.750  0.13
Co  0.000  0.707  0.750  0.13

=====

Which of them is least stable? Easy: 2.

=====

1:
The following is a DFT calculation (PBE) of a relaxed structure of Cr3CoAs.

Properties
DOS(E_F) = 1.98 states/eV/f.u.
Size of the total moment = 2.394 μB per atom
Theoretical density = 5.0 g cm⁻³

Cell lengths 4.573, 4.573, 4.573 Å; angles 90.00, 90.00, 90.00 degrees
Each line ends with the local moment (μB).
Atoms (fractional coordinates):
Cr  0.000  0.500  0.000  3.12
Cr  0.000  0.000  0.500  3.44
Cr  0.500  0.000  0.000  2.78
As  0.000  0.000  0.000  -0.14
Co  0.500  0.500  0.500  2.10

=====

2:
The following is a DFT calculation (PBE) of a relaxed structure of Cr3CoAs.

Properties
DOS(E_F) = 7.02 states/eV/f.u.
Size of the total moment = 1.315 μB per atom
Theoretical density = 5.8 g cm⁻³

Cell lengths 4.350, 4.350, 4.350 Å; angles 90.00, 90.00, 90.00 degrees
Each line ends with the local moment (μB).
Atoms (fractional coordinates):
Cr  0.000  0.500  0.000  2.25
Cr  0.000  0.000  0.500  2.27
Cr  0.500  0.000  0.000  2.36
As  0.500  0.500  0.500  -0.15
Co  0.000  0.000  0.000  -0.52

=====

Which of them is least stable? Easy: 1.

=====

1:
The following is a DFT calculation (PBE) of a relaxed structure of CrCoAs2.

Properties
DOS(E_F) = 2.39 states/eV/f.u.
Size of the total moment = 0.000 μB per atom
Theoretical density = 8.2 g cm⁻³

Cell lengths 4.217, 4.217, 4.217 Å; angles 60.00, 60.00, 60.00 degrees
Atoms (fractional coordinates):
Cr  0.000  0.000  0.000
As  0.250  0.250  0.250
As  0.750  0.750  0.750
Co  0.500  0.500  0.500

=====

2:
The following is a DFT calculation (PBE) of a relaxed structure of CrCoAs2.

Properties
DOS(E_F) = 2.90 states/eV/f.u.
Size of the total moment = 0.830 μB per atom
Theoretical density = 7.0 g cm⁻³

Cell lengths 3.627, 3.627, 5.818 Å; angles 72.01, 72.01, 59.86 degrees
Each line ends with the local moment (μB).
Atoms (fractional coordinates):
As  0.009  0.009  0.973  -0.09
As  0.491  0.491  0.527  -0.09
Co  0.750  0.750  0.750  0.32
Cr  0.250  0.250  0.250  3.04

=====

Which of them is least stable? Easy: 1.

=====

1:
The following is a DFT calculation (PBE) of a relaxed structure of CrCoAs2.

Properties
DOS(E_F) = 4.10 states/eV/f.u.
Size of the total moment = 0.000 μB per atom
Theoretical density = 7.4 g cm⁻³

Cell lengths 4.556, 3.013, 4.519 Å; angles 71.23, 90.00, 90.00 degrees
Atoms (fractional coordinates):
As  0.000  0.723  0.944
As  0.500  0.530  0.301
Co  0.000  0.420  0.532
Cr  0.500  0.827  0.723

=====

2:
The following is a DFT calculation (PBE) of a relaxed structure of CrCoAs2.

Properties
DOS(E_F) = 2.64 states/eV/f.u.
Size of the total moment = 0.558 μB per atom
Theoretical density = 6.3 g cm⁻³

Cell lengths 10.044, 10.044, 10.044 Å; angles 16.17, 16.17, 16.17 degrees
Each line ends with the local moment (μB).
Atoms (fractional coordinates):
As  0.971  0.971  0.971  -0.05
As  0.781  0.781  0.781  -0.02
Co  0.508  0.508  0.508  1.00
Cr  0.240  0.240  0.240  1.30

=====

3:
The following is a DFT calculation (PBE) of a relaxed structure of CrCoAs2.

Properties
DOS(E_F) = 2.81 states/eV/f.u.
Size of the total moment = 0.509 μB per atom
Theoretical density = 7.6 g cm⁻³

Cell lengths 5.216, 5.216, 5.216 Å; angles 140.54, 140.54, 57.03 degrees
Each line ends with the local moment (μB).
Atoms (fractional coordinates):
As  0.000  0.000  0.000  -0.04
As  0.250  0.750  0.500  -0.05
Co  0.500  0.500  0.000  -0.52
Cr  0.750  0.250  0.500  2.54

=====

Which of them is least stable? Easy: 2.

=====

1:
The following is a DFT calculation (PBE) of a relaxed structure of CrCoAs2.

Properties
DOS(E_F) = 2.73 states/eV/f.u.
Size of the total moment = 0.778 μB per atom
Theoretical density = 6.7 g cm⁻³

Cell lengths 2.903, 2.903, 7.697 Å; angles 90.00, 90.00, 90.00 degrees
Each line ends with the local moment (μB).
Atoms (fractional coordinates):
As  0.000  0.000  0.925  -0.06
As  0.500  0.500  0.341  -0.01
Co  0.000  0.000  0.514  0.83
Cr  0.500  0.500  0.721  2.26

=====

2:
The following is a DFT calculation (PBE) of a relaxed structure of CrCoAs2.

Properties
DOS(E_F) = 4.22 states/eV/f.u.
Size of the total moment = 1.106 μB per atom
Theoretical density = 7.3 g cm⁻³

Cell lengths 4.386, 4.386, 4.386 Å; angles 60.00, 60.00, 60.00 degrees
Each line ends with the local moment (μB).
Atoms (fractional coordinates):
As  0.000  0.000  0.000  -0.01
As  0.250  0.250  0.250  0.01
Co  0.500  0.500  0.500  1.37
Cr  0.750  0.750  0.750  2.87

=====

Which of them is least stable? Easy: 2.

=====

1:
The following is a DFT calculation (PBE) of a relaxed structure of CrCoAs2.

Properties
DOS(E_F) = 3.49 states/eV/f.u.
Size of the total moment = 0.306 μB per atom
Theoretical density = 7.9 g cm⁻³

Cell lengths 7.487, 7.487, 7.487 Å; angles 22.72, 22.72, 22.72 degrees
Each line ends with the local moment (μB).
Atoms (fractional coordinates):
As  0.000  0.000  0.000  0.00
As  0.500  0.500  0.500  0.00
Co  0.750  0.750  0.750  0.65
Cr  0.250  0.250  0.250  0.55

=====

2:
The following is a DFT calculation (PBE) of a relaxed structure of CrCoAs2.

Properties
DOS(E_F) = 3.10 states/eV/f.u.
Size of the total moment = 0.353 μB per atom
Theoretical density = 7.9 g cm⁻³

Cell lengths 4.539, 4.539, 4.240 Å; angles 77.87, 77.87, 40.31 degrees
Each line ends with the local moment (μB).
Atoms (fractional coordinates):
As  0.997  0.997  0.091  -0.07
As  0.753  0.753  0.676  -0.05
Co  0.481  0.481  0.566  -0.11
Cr  0.269  0.269  0.166  1.60

=====

3:
The following is a DFT calculation (PBE) of a relaxed structure of CrCoAs2.

Properties
DOS(E_F) = 3.46 states/eV/f.u.
Size of the total moment = 0.403 μB per atom
Theoretical density = 8.1 g cm⁻³

Cell lengths 3.018, 3.018, 5.852 Å; angles 90.00, 90.00, 89.97 degrees
Each line ends with the local moment (μB).
Atoms (fractional coordinates):
As  0.000  0.000  0.995  0.00
As  0.000  0.000  0.505  0.00
Co  0.500  0.500  0.250  0.93
Cr  0.500  0.500  0.750  0.69

=====

4:
The following is a DFT calculation (PBE) of a relaxed structure of CrCoAs2.

Properties
DOS(E_F) = 1.94 states/eV/f.u.
Size of the total moment = 0.675 μB per atom
Theoretical density = 6.7 g cm⁻³

Cell lengths 4.116, 4.116, 8.200 Å; angles 75.46, 75.46, 90.00 degrees
Each line ends with the local moment (μB).
Atoms (fractional coordinates):
Cr  0.500  0.500  0.000  2.94
Cr  0.250  0.750  0.500  2.94
As  0.650  0.125  0.250  -0.04
As  0.100  0.625  0.250  -0.04
As  0.375  0.350  0.750  -0.03
As  0.875  0.900  0.750  -0.03
Co  0.000  0.000  0.000  -0.54
Co  0.750  0.250  0.500  -0.54

=====

Which of them is least stable? Easy: 1.

=====

1:
The following is a DFT calculation (PBE) of a relaxed structure of CrCo3As.

Properties
DOS(E_F) = 17.38 states/eV/f.u.
Size of the total moment = 0.157 μB per atom
Theoretical density = 6.7 g cm⁻³

Cell lengths 4.223, 4.223, 4.223 Å; angles 90.00, 90.00, 90.00 degrees
Each line ends with the local moment (μB).
Atoms (fractional coordinates):
Cr  0.500  0.500  0.500  0.40
As  0.000  0.000  0.000  -0.01
Co  0.000  0.500  0.000  0.17
Co  0.000  0.000  0.500  -0.06
Co  0.500  0.000  0.000  0.32

=====

2:
The following is a DFT calculation (PBE) of a relaxed structure of CrCo3As.

Properties
DOS(E_F) = 7.85 states/eV/f.u.
Size of the total moment = 0.122 μB per atom
Theoretical density = 6.8 g cm⁻³

Cell lengths 4.199, 4.199, 4.199 Å; angles 90.00, 90.00, 90.00 degrees
Each line ends with the local moment (μB).
Atoms (fractional coordinates):
Cr  0.000  0.000  0.000  -0.13
As  0.500  0.500  0.500  0.00
Co  0.000  0.500  0.000  0.26
Co  0.000  0.000  0.500  0.23
Co  0.500  0.000  0.000  0.25

=====

Which of them is least stable? Easy: 1.

=====

1:
The following is a DFT calculation (PBE) of a relaxed structure of Sc2CrCoAs.

Properties
DOS(E_F) = 5.91 states/eV/f.u.
Size of the total moment = 1.067 μB per atom
Theoretical density = 4.2 g cm⁻³

Cell lengths 5.049, 4.286, 5.049 Å; angles 90.00, 90.00, 90.00 degrees
Each line ends with the local moment (μB).
Atoms (fractional coordinates):
Sc  0.000  0.000  0.500  -0.04
Sc  0.500  0.000  0.000  -0.04
Cr  0.500  0.500  0.500  3.87
As  0.000  0.000  0.000  0.04
Co  0.000  0.500  0.000  1.14

=====

2:
The following is a DFT calculation (PBE) of a relaxed structure of Sc2CrCoAs.

Properties
DOS(E_F) = 5.96 states/eV/f.u.
Size of the total moment = 0.336 μB per atom
Theoretical density = 4.5 g cm⁻³

Cell lengths 4.768, 4.461, 4.768 Å; angles 90.00, 90.00, 90.00 degrees
Each line ends with the local moment (μB).
Atoms (fractional coordinates):
Sc  0.000  0.000  0.500  -0.06
Sc  0.500  0.000  0.000  -0.08
Cr  0.000  0.000  0.000  0.10
As  0.000  0.500  0.000  0.01
Co  0.500  0.500  0.500  1.82

=====

Which of them is least stable? Easy: 2.

=====

1:
The following is a DFT calculation (PBE) of a relaxed structure of CsCo3As.

Properties
DOS(E_F) = 20.78 states/eV/f.u.
Size of the total moment = 1.000 μB per atom
Theoretical density = 6.1 g cm⁻³

Cell lengths 4.703, 4.703, 4.703 Å; angles 90.00, 90.00, 90.00 degrees
Each line ends with the local moment (μB).
Atoms (fractional coordinates):
Cs  0.500  0.500  0.500  -0.01
As  0.000  0.000  0.000  0.02
Co  0.000  0.500  0.000  1.82
Co  0.000  0.000  0.500  1.53
Co  0.500  0.000  0.000  1.80

=====

2:
The following is a DFT calculation (PBE) of a relaxed structure of CsCo3As.

Properties
DOS(E_F) = 5.58 states/eV/f.u.
Size of the total moment = 0.798 μB per atom
Theoretical density = 5.9 g cm⁻³

Cell lengths 4.764, 4.764, 4.764 Å; angles 90.00, 90.00, 90.00 degrees
Each line ends with the local moment (μB).
Atoms (fractional coordinates):
Cs  0.000  0.000  0.000  -0.03
As  0.500  0.500  0.500  0.15
Co  0.000  0.500  0.000  1.44
Co  0.000  0.000  0.500  1.24
Co  0.500  0.000  0.000  1.16

=====

Which of them is least stable? Easy: 2.

=====

1:
The following is a DFT calculation (PBE) of a relaxed structure of CoCuAs2.

Properties
DOS(E_F) = 3.25 states/eV/f.u.
Size of the total moment = 0.102 μB per atom
Theoretical density = 7.6 g cm⁻³

Cell lengths 7.352, 7.352, 7.352 Å; angles 24.32, 24.32, 24.32 degrees
Each line ends with the local moment (μB).
Atoms (fractional coordinates):
As  0.993  0.993  0.993  0.01
As  0.507  0.507  0.507  0.01
Co  0.250  0.250  0.250  0.38
Cu  0.750  0.750  0.750  0.01

=====

2:
The following is a DFT calculation (PBE) of a relaxed structure of CoCuAs2.

Properties
DOS(E_F) = 3.17 states/eV/f.u.
Size of the total moment = 0.040 μB per atom
Theoretical density = 7.9 g cm⁻³

Cell lengths 4.250, 4.250, 3.166 Å; angles 90.00, 90.00, 90.00 degrees
Each line ends with the local moment (μB).
Atoms (fractional coordinates):
As  0.000  0.000  0.000  0.00
As  0.500  0.500  0.000  0.00
Co  0.500  0.000  0.500  0.18
Cu  0.000  0.500  0.500  0.00

=====

Which of them is least stable? Easy: 2.